No. 1
A relaxed structure of CsP3W, computed with GGA-PBEsol.

a = 4.7954 Å, b = 4.7954 Å, c = 4.7954 Å
α = 90.00°, β = 90.00°, γ = 90.00°
Closest atoms and distances in Å follow each position.
Sites, in units of the cell vectors:
1 P 0.0000 0.0000 0.5000  2 W 2.40
2 P 0.5000 0.0000 0.0000  2 W 2.40
3 Cs 0.5000 0.5000 0.5000  12 P 3.39
4 W 0.0000 0.0000 0.0000  6 P 2.40
5 P 0.0000 0.5000 0.0000  2 W 2.40

Summary:
Formation energy from the elements: 0.120 eV per atom

No. 2
A relaxed structure of Tc2MoAs, computed with GGA-PBEsol.

a = 2.8463 Å, b = 4.5326 Å, c = 4.7624 Å
α = 93.86°, β = 90.00°, γ = 108.30°
Closest atoms and distances in Å follow each position.
Sites, in units of the cell vectors:
1 Tc 0.2493 0.4986 0.2562  3 As 2.51-2.77, 3 Mo 2.55-2.78, 2 Tc 2.72
2 As 0.0000 0.0000 0.5000  6 Tc 2.51-2.77, 4 Mo 2.77
3 Mo 0.5000 0.0000 0.0000  6 Tc 2.55-2.78, 4 As 2.77, 2 Mo 2.85
4 Tc 0.7507 0.5014 0.7438  3 As 2.51-2.77, 3 Mo 2.55-2.78, 2 Tc 2.72

Summary:
Formation energy from the elements: 0.133 eV per atom

No. 3
A relaxed structure of NaFeI3, computed with GGA-PBEsol.

a = 5.6501 Å, b = 5.6501 Å, c = 5.6501 Å
α = 90.00°, β = 90.00°, γ = 90.00°
Closest atoms and distances in Å follow each position.
Sites, in units of the cell vectors:
1 Na 0.0000 0.0000 0.0000  6 I 2.83
2 Fe 0.5000 0.5000 0.5000  12 I 4.00
3 I 0.5000 0.0000 0.0000  2 Na 2.83
4 I 0.0000 0.0000 0.5000  2 Na 2.83
5 I 0.0000 0.5000 0.0000  2 Na 2.83

Summary:
Formation energy without anion corrections: 0.568 eV/atom